# PBE DyErAl2Pd4, optimized geometry
# Crystal system   hexagonal
# Theoretical density   8.99 Mg/m³
# M_tot   0.006 μB/cell
data_DyErAl2Pd4
_space_group_name_H-M_alt 'P 1'
_space_group_IT_number 1
_space_group_name_Hall 'P 1'
_cell_length_a 4.358
_cell_length_b 4.358
_cell_length_c 9.085
_cell_angle_alpha 90.00
_cell_angle_beta 90.00
_cell_angle_gamma 120.00
loop_
_atom_site_label
_atom_site_type_symbol
_atom_site_fract_x
_atom_site_fract_y
_atom_site_fract_z
Dy1 Dy 0.000 0.000 0.000
Er1 Er 0.667 0.333 0.500
Al1 Al 0.333 0.667 0.251
Al2 Al 0.333 0.667 0.749
Pd1 Pd 0.000 0.000 0.333
Pd2 Pd 0.000 0.000 0.667
Pd3 Pd 0.667 0.333 0.171
Pd4 Pd 0.667 0.333 0.829


# PBE ErTmAl4Ni2, optimized geometry
# Crystal system   orthorhombic
# Theoretical density   6.70 Mg/m³
# M_tot   0.001 μB/cell
data_ErTmAl4Ni2
_space_group_name_H-M_alt 'P 1'
_space_group_IT_number 1
_space_group_name_Hall 'P 1'
_cell_length_a 6.876
_cell_length_b 5.398
_cell_length_c 5.398
_cell_angle_alpha 43.96
_cell_angle_beta 90.00
_cell_angle_gamma 90.00
loop_
_atom_site_label
_atom_site_type_symbol
_atom_site_fract_x
_atom_site_fract_y
_atom_site_fract_z
Er1 Er 0.000 0.000 0.000
Tm1 Tm 0.500 0.122 0.122
Al1 Al 0.197 0.716 0.716
Al2 Al 0.304 0.406 0.406
Al3 Al 0.696 0.406 0.406
Al4 Al 0.803 0.716 0.716
Ni1 Ni 0.000 0.277 0.277
Ni2 Ni 0.500 0.846 0.846


# PBE MoS3N, optimized geometry
# Crystal system   orthorhombic
# Theoretical density   4.21 Mg/m³
# M_tot   0.011 μB/cell
data_MoS3N
_space_group_name_H-M_alt 'P 1'
_space_group_IT_number 1
_space_group_name_Hall 'P 1'
_cell_length_a 6.102
_cell_length_b 6.102
_cell_length_c 6.102
_cell_angle_alpha 113.25
_cell_angle_beta 92.88
_cell_angle_gamma 123.72
loop_
_atom_site_label
_atom_site_type_symbol
_atom_site_fract_x
_atom_site_fract_y
_atom_site_fract_z
Mo1 Mo 0.000 0.000 0.000
Mo2 Mo 0.500 0.000 0.500
S1 S 0.151 0.000 0.651
S2 S 0.151 0.500 0.151
S3 S 0.465 0.215 0.250
S4 S 0.535 0.785 0.750
S5 S 0.849 0.000 0.349
S6 S 0.849 0.500 0.849
N1 N 0.268 0.518 0.750
N2 N 0.732 0.482 0.250


# PBE SnPdW, optimized geometry
# Crystal system   cubic
# Theoretical density   10.80 Mg/m³
# M_tot   0.804 μB/cell
data_SnPdW
_space_group_name_H-M_alt 'P 1'
_space_group_IT_number 1
_space_group_name_Hall 'P 1'
_cell_length_a 4.464
_cell_length_b 4.464
_cell_length_c 4.464
_cell_angle_alpha 60.00
_cell_angle_beta 60.00
_cell_angle_gamma 60.00
loop_
_atom_site_label
_atom_site_type_symbol
_atom_site_fract_x
_atom_site_fract_y
_atom_site_fract_z
Sn1 Sn 0.000 0.000 0.000
Pd1 Pd 0.500 0.500 0.500
W1 W 0.750 0.750 0.750


# PBE Nb2CuAu, optimized geometry
# Crystal system   cubic
# Theoretical density   11.05 Mg/m³
# M_tot   0.019 μB/cell
# E_form   0.28 eV/atom
data_Nb2CuAu
_space_group_name_H-M_alt 'P 1'
_space_group_IT_number 1
_space_group_name_Hall 'P 1'
_cell_length_a 4.560
_cell_length_b 4.560
_cell_length_c 4.560
_cell_angle_alpha 60.00
_cell_angle_beta 60.00
_cell_angle_gamma 60.00
loop_
_atom_site_label
_atom_site_type_symbol
_atom_site_fract_x
_atom_site_fract_y
_atom_site_fract_z
Nb1 Nb 0.000 0.000 0.000
Nb2 Nb 0.250 0.250 0.250
Cu1 Cu 0.500 0.500 0.500
Au1 Au 0.750 0.750 0.750


# PBE LiPrHgSe3, optimized geometry
# Crystal system   orthorhombic
# Theoretical density   5.79 Mg/m³
# M_tot   0.009 μB/cell
data_LiPrHgSe3
_space_group_name_H-M_alt 'P 1'
_space_group_IT_number 1
_space_group_name_Hall 'P 1'
_cell_length_a 11.514
_cell_length_b 4.251
_cell_length_c 13.714
_cell_angle_alpha 90.00
_cell_angle_beta 90.00
_cell_angle_gamma 90.00
loop_
_atom_site_label
_atom_site_type_symbol
_atom_site_fract_x
_atom_site_fract_y
_atom_site_fract_z
Li1 Li 0.135 0.250 0.035
Li2 Li 0.365 0.750 0.535
Li3 Li 0.635 0.250 0.465
Li4 Li 0.865 0.750 0.965
Pr1 Pr 0.030 0.250 0.752
Pr2 Pr 0.470 0.750 0.252
Pr3 Pr 0.530 0.250 0.748
Pr4 Pr 0.970 0.750 0.248
Hg1 Hg 0.213 0.250 0.302
Hg2 Hg 0.287 0.750 0.802
Hg3 Hg 0.713 0.250 0.198
Hg4 Hg 0.787 0.750 0.698
Se1 Se 0.012 0.250 0.388
Se2 Se 0.092 0.750 0.908
Se3 Se 0.221 0.750 0.167
Se4 Se 0.279 0.250 0.667
Se5 Se 0.408 0.250 0.408
Se6 Se 0.488 0.750 0.888
Se7 Se 0.512 0.250 0.112
Se8 Se 0.592 0.750 0.592
Se9 Se 0.721 0.750 0.333
Se10 Se 0.779 0.250 0.833
Se11 Se 0.908 0.250 0.092
Se12 Se 0.988 0.750 0.612


# PBE MgFe2Pb, optimized geometry
# Crystal system   cubic
# Theoretical density   8.50 Mg/m³
# M_tot   19.512 μB/cell
data_MgFe2Pb
_space_group_name_H-M_alt 'P 1'
_space_group_IT_number 1
_space_group_name_Hall 'P 1'
_cell_length_a 6.449
_cell_length_b 6.449
_cell_length_c 6.449
_cell_angle_alpha 90.00
_cell_angle_beta 90.00
_cell_angle_gamma 90.00
loop_
_atom_site_label
_atom_site_type_symbol
_atom_site_fract_x
_atom_site_fract_y
_atom_site_fract_z
Mg1 Mg 0.000 0.000 0.000
Mg2 Mg 0.000 0.000 0.500
Mg3 Mg 0.000 0.500 0.000
Mg4 Mg 0.500 0.000 0.000
Fe1 Fe 0.232 0.232 0.232
Fe2 Fe 0.232 0.232 0.768
Fe3 Fe 0.232 0.768 0.232
Fe4 Fe 0.232 0.768 0.768
Fe5 Fe 0.768 0.232 0.232
Fe6 Fe 0.768 0.232 0.768
Fe7 Fe 0.768 0.768 0.232
Fe8 Fe 0.768 0.768 0.768
Pb1 Pb 0.000 0.500 0.500
Pb2 Pb 0.500 0.000 0.500
Pb3 Pb 0.500 0.500 0.000
Pb4 Pb 0.500 0.500 0.500


# PBE Y4Ni3Pd, optimized geometry
# Crystal system   monoclinic
# Theoretical density   6.45 Mg/m³
# M_tot   0.007 μB/cell
# E_form   -0.55 eV/atom
data_Y4Ni3Pd
_space_group_name_H-M_alt 'P 1'
_space_group_IT_number 1
_space_group_name_Hall 'P 1'
_cell_length_a 5.434
_cell_length_b 4.348
_cell_length_c 6.951
_cell_angle_alpha 90.00
_cell_angle_beta 90.23
_cell_angle_gamma 90.00
loop_
_atom_site_label
_atom_site_type_symbol
_atom_site_fract_x
_atom_site_fract_y
_atom_site_fract_z
Y1 Y 0.000 0.000 0.000
Y2 Y 0.213 0.000 0.507
Y3 Y 0.499 0.500 0.862
Y4 Y 0.722 0.500 0.376
Ni1 Ni 0.213 0.500 0.227
Ni2 Ni 0.723 0.000 0.652
Ni3 Ni 0.993 0.500 0.724
Pd1 Pd 0.501 0.000 0.149


# PBE BaNbO3, optimized geometry
# Crystal system   hexagonal
# Theoretical density   6.38 Mg/m³
# M_tot   0.006 μB/cell
data_BaNbO3
_space_group_name_H-M_alt 'P 1'
_space_group_IT_number 1
_space_group_name_Hall 'P 1'
_cell_length_a 5.922
_cell_length_b 5.922
_cell_length_c 9.543
_cell_angle_alpha 90.00
_cell_angle_beta 90.00
_cell_angle_gamma 120.00
loop_
_atom_site_label
_atom_site_type_symbol
_atom_site_fract_x
_atom_site_fract_y
_atom_site_fract_z
Ba1 Ba 0.000 0.000 0.000
Ba2 Ba 0.000 0.000 0.500
Ba3 Ba 0.333 0.667 0.250
Ba4 Ba 0.667 0.333 0.750
Nb1 Nb 0.333 0.667 0.618
Nb2 Nb 0.333 0.667 0.882
Nb3 Nb 0.667 0.333 0.118
Nb4 Nb 0.667 0.333 0.382
O1 O 0.000 0.500 0.000
O2 O 0.000 0.500 0.500
O3 O 0.170 0.341 0.750
O4 O 0.170 0.830 0.750
O5 O 0.341 0.170 0.250
O6 O 0.500 0.000 0.000
O7 O 0.500 0.000 0.500
O8 O 0.500 0.500 0.000
O9 O 0.500 0.500 0.500
O10 O 0.659 0.830 0.750
O11 O 0.830 0.170 0.250
O12 O 0.830 0.659 0.250


# PBE TaCuSiOs, optimized geometry
# Crystal system   cubic
# Theoretical density   13.79 Mg/m³
# M_tot   0.002 μB/cell
data_TaCuSiOs
_space_group_name_H-M_alt 'P 1'
_space_group_IT_number 1
_space_group_name_Hall 'P 1'
_cell_length_a 4.288
_cell_length_b 4.288
_cell_length_c 4.288
_cell_angle_alpha 60.00
_cell_angle_beta 60.00
_cell_angle_gamma 60.00
loop_
_atom_site_label
_atom_site_type_symbol
_atom_site_fract_x
_atom_site_fract_y
_atom_site_fract_z
Ta1 Ta 0.000 0.000 0.000
Cu1 Cu 0.750 0.750 0.750
Si1 Si 0.250 0.250 0.250
Os1 Os 0.500 0.500 0.500


# PBE Dy7Tm, optimized geometry
# Crystal system   orthorhombic
# Theoretical density   8.61 Mg/m³
# M_tot   0.323 μB/cell
# E_form   0.01 eV/atom
data_Dy7Tm
_space_group_name_H-M_alt 'P 1'
_space_group_IT_number 1
_space_group_name_Hall 'P 1'
_cell_length_a 5.612
_cell_length_b 7.199
_cell_length_c 7.199
_cell_angle_alpha 60.00
_cell_angle_beta 90.00
_cell_angle_gamma 90.00
loop_
_atom_site_label
_atom_site_type_symbol
_atom_site_fract_x
_atom_site_fract_y
_atom_site_fract_z
Dy1 Dy 0.000 0.000 0.000
Dy2 Dy 0.000 0.500 0.500
Dy3 Dy 0.000 0.500 0.999
Dy4 Dy 0.000 0.999 0.500
Dy5 Dy 0.500 0.333 0.333
Dy6 Dy 0.500 0.334 0.833
Dy7 Dy 0.500 0.833 0.334
Tm1 Tm 0.500 0.833 0.833


It is found that the VASP energy values, taken in the order of the records, are -5.62, -5.05, -5.96, -6.71, -6.51, -4.00, -4.97, -6.51, -8.04, -8.08, -4.58 eV/atom.